# BaZr2Pt PBE optimized geometry
# **VASP energy**: -6.116 eV/atom
# **Distance to the lowest polymorph of the same formula**: 1.74 eV per formula unit
# **Crystal system**: orthorhombic
# **Energy of formation from the pure elements**: 0.149 eV per atom
data_BaZr2Pt
_space_group_name_H-M_alt 'P m m m'
_space_group_IT_number 47
_space_group_name_Hall '-P 2 2'
_cell_length_a 3.426
_cell_length_b 5.249
_cell_length_c 5.353
_cell_angle_alpha 90.00
_cell_angle_beta 90.00
_cell_angle_gamma 90.00
loop_
_atom_site_label
_atom_site_type_symbol
_atom_site_fract_x
_atom_site_fract_y
_atom_site_fract_z
_atom_site_occupancy
Ba1 Ba 0.000 0.000 0.000 1
Zr1 Zr 0.000 0.500 0.500 1
Zr2 Zr 0.500 0.500 0.000 1
Pt1 Pt 0.500 0.000 0.500 1